Entry 1:
The following is a GGA-PBE calculation of Mo2Ir2C after structural relaxation, from Alexandria via LeMat-Bulk.

Properties
N(E_F) = 5.3 states/eV/cell
Magnetic moment = 0.000 μB per formula unit
VASP energy = -9.282 eV/atom

Lattice parameters (Å, degrees): 2.8311 2.8311 29.2720 90.00 90.00 120.00
Space group R-3m (No. 166, hexagonal axes)
Symmetry-distinct sites (fractional):
Mo  0.0000  0.0000  0.1244 [6 per cell]
Ir  0.0000  0.0000  0.3806 [6 per cell]
C  0.0000  0.0000  0.0000 [3 per cell]

=====

Entry 2:
The following is a GGA-PBE calculation of La2CrRu after structural relaxation, from Alexandria via LeMat-Bulk.

Properties
N(E_F) = 16.1 states/eV/cell
Relative energy among the computed polymorphs = 0.137 eV/atom
Magnetic moment = 4.467 μB per formula unit

Lattice parameters (Å, degrees): 7.075 7.075 7.075 90.00 90.00 90.00
Space group F-43m (No. 216)
Symmetry-distinct sites (fractional):
La  0.000  0.000  0.000 [4 per cell]
La  0.250  0.250  0.250 [4 per cell]
Cr  0.250  0.250  0.750 [4 per cell]
Ru  0.000  0.000  0.500 [4 per cell]

=====

Entry 3:
The following is a GGA-PBE calculation of NdEr4Se6 after structural relaxation, from Alexandria via LeMat-Bulk.

Properties
N(E_F) = 11.5 states/eV/cell
Energy relative to the elements, uncorrected = -1.8086 eV per atom
Magnetic moment = 0.000 μB per formula unit

Lattice parameters (Å, degrees): 4.007 13.294 20.685 90.00 90.00 90.00
Space group Cmcm (No. 63)
Symmetry-distinct sites (fractional):
Nd  0.000  0.154  0.250 [4 per cell]
Er  0.000  0.091  0.626 [8 per cell]
Er  0.000  0.360  0.538 [8 per cell]
Se  0.000  0.000  0.000 [4 per cell]
Se  0.000  0.182  0.750 [4 per cell]
Se  0.000  0.268  0.090 [8 per cell]
Se  0.000  0.451  0.664 [8 per cell]

=====

Entry 4:
The following is a GGA-PBE calculation of Ca2ErGa4 after structural relaxation, from Alexandria via LeMat-Bulk.

Properties
N(E_F) = 7.2 states/eV/cell
Magnetic moment = 0.000 μB per formula unit
VASP energy = -3.478 eV/atom

Lattice parameters (Å, degrees): 3.968 4.314 19.125 90.00 90.00 90.00
Space group Immm (No. 71)
Symmetry-distinct sites (fractional):
Ca  0.000  0.000  0.188 [4 per cell]
Er  0.000  0.500  0.000 [2 per cell]
Ga  0.000  0.000  0.363 [4 per cell]
Ga  0.000  0.500  0.435 [4 per cell]

=====

Entry 5:
The following is a GGA-PBE calculation of PuGa9Pd3 after structural relaxation, from Alexandria via LeMat-Bulk.

Properties
N(E_F) = 26.6 states/eV/cell
Magnetic moment = 5.578 μB per formula unit
VASP energy = -4.779 eV/atom

Lattice parameters (Å, degrees): 5.497 12.782 6.849 90.00 111.27 90.00
Space group C2/m (No. 12)
Symmetry-distinct sites (fractional):
Pu  0.000  0.000  0.000 [2 per cell]
Ga  0.000  0.000  0.500 [2 per cell]
Ga  0.099  0.393  0.209 [8 per cell]
Ga  0.175  0.178  0.344 [8 per cell]
Pd  0.000  0.500  0.500 [2 per cell]
Pd  0.250  0.250  0.000 [4 per cell]

=====

Entry 6:
The following is a GGA-PBE calculation of InOs2Au after structural relaxation, from Alexandria via LeMat-Bulk.

Properties
N(E_F) = 6.3 states/eV/cell
Magnetic moment = 0.000 μB per formula unit
VASP energy = -6.526 eV/atom

Lattice parameters (Å, degrees): 2.815 4.723 10.738 90.00 90.00 90.00
Space group Imm2 (No. 44)
Symmetry-distinct sites (fractional):
In  0.000  0.000  0.000 [2 per cell]
Os  0.000  0.000  0.436 [2 per cell]
Os  0.000  0.500  0.743 [2 per cell]
Au  0.000  0.500  0.200 [2 per cell]